Record 1
{"formula": "Pa2Co3P4", "functional": "PBE", "state": "optimized geometry", "delta_e_f_ev_per_atom": -0.75, "dft_energy_ev_per_atom": -7.63, "sg": "No. 69", "magmom_total_mub_per_fu": 0.44, "lattice_angstrom": [[5.207, -0.106, 0.000], [-2.514, 4.561, 0.000], [-1.347, -2.227, 5.794]], "species": ["P", "P", "P", "Co", "Co", "Pa", "P", "Pa", "Co"], "fractional_positions": [[0.691, 0.011, 0.703], [0.011, 0.691, 0.703], [0.989, 0.309, 0.297], [0.000, 0.000, 0.000], [0.500, 0.000, 0.000], [0.354, 0.354, 0.708], [0.309, 0.989, 0.297], [0.646, 0.646, 0.292], [0.000, 0.500, 0.000]]}

***

Record 2
{"formula": "Pm4Dy2Y", "functional": "PBE", "state": "optimized geometry", "delta_e_f_ev_per_atom": 0.18, "relative_energy_ev_per_atom": 0.122, "dft_energy_ev_per_atom": -4.78, "sg": "No. 5", "magmom_total_mub_per_fu": 0.00, "lattice_angstrom": [[0.714, -8.318, 3.251], [3.232, -1.682, -8.183], [2.900, 4.637, 7.092]], "species": ["Dy", "Dy", "Dy", "Pm", "Pm", "Pm", "Pm", "Y", "Y", "Dy", "Pm", "Pm", "Pm", "Pm"], "fractional_positions": [[0.593, 0.498, 0.906], [0.125, 0.357, 0.732], [0.625, 0.358, 0.233], [0.375, 0.619, 0.243], [0.964, 0.732, 0.268], [0.874, 0.617, 0.743], [0.286, 0.054, 0.269], [0.157, 0.063, 0.905], [0.093, 0.499, 0.406], [0.657, 0.062, 0.405], [0.874, 0.052, 0.177], [0.785, 0.054, 0.767], [0.465, 0.732, 0.769], [0.376, 0.053, 0.678]]}

***

Record 3
{"formula": "Sr3InW", "functional": "PBE", "state": "optimized geometry", "delta_e_f_ev_per_atom": 0.93, "relative_energy_ev_per_atom": 0.000, "dft_energy_ev_per_atom": -3.22, "sg": "No. 221", "magmom_total_mub_per_fu": 0.85, "lattice_angstrom": [[-2.425, -0.467, -5.294], [-4.915, -2.018, 2.429], [-2.023, 5.462, 0.445]], "species": ["Sr", "Sr", "In", "Sr", "W"], "fractional_positions": [[0.000, 0.000, 0.500], [0.000, 0.500, 0.000], [0.500, 0.500, 0.500], [0.500, 0.000, 0.000], [0.000, 0.000, 0.000]]}

***

Record 4
{"formula": "TlH2Pt2", "functional": "PBE", "state": "optimized geometry", "relative_energy_ev_per_atom": 0.467, "dft_energy_ev_per_atom": -3.80, "sg": "No. 127", "magmom_total_mub_per_fu": 0.00, "lattice_angstrom": [[6.812, 0.000, 0.000], [0.000, 6.812, 0.000], [0.000, 0.000, 2.861]], "species": ["Tl", "H", "Tl", "Pt", "H", "H", "H", "Pt", "Pt", "Pt"], "fractional_positions": [[0.500, 0.500, 0.000], [0.943, 0.557, 0.000], [0.000, 0.000, 0.000], [0.146, 0.646, 0.500], [0.057, 0.443, 0.000], [0.443, 0.943, 0.000], [0.557, 0.057, 0.000], [0.854, 0.354, 0.500], [0.646, 0.854, 0.500], [0.354, 0.146, 0.500]]}

***

Record 5
{"formula": "In2Pd2Au", "functional": "PBE", "state": "optimized geometry", "delta_e_f_ev_per_atom": -0.17, "relative_energy_ev_per_atom": 0.223, "dft_energy_ev_per_atom": -4.00, "sg": "No. 139", "magmom_total_mub_per_fu": 0.00, "lattice_angstrom": [[-1.876, 3.083, -1.348], [-3.300, -1.989, 0.044], [-3.774, 2.657, 5.822]], "species": ["In", "Pd", "In", "Pd", "Au"], "fractional_positions": [[0.393, 0.393, 0.214], [0.750, 0.250, 0.500], [0.607, 0.607, 0.786], [0.250, 0.750, 0.500], [0.000, 0.000, 0.000]]}

***

Record 6
{"formula": "MnTe2Mo", "functional": "PBE", "state": "optimized geometry", "formation_energy_uncorrected_mev_per_atom": 181, "relative_energy_ev_per_atom": 0.229, "dft_energy_ev_per_atom": -6.39, "sg": "No. 160", "magmom_total_mub_per_fu": 3.06, "lattice_angstrom": [[-8.121, 1.124, -6.361], [-8.211, -2.152, -5.969], [-9.671, -0.184, -3.757]], "species": ["Mn", "Mo", "Te", "Te"], "fractional_positions": [[0.490, 0.490, 0.490], [0.759, 0.759, 0.759], [0.029, 0.029, 0.029], [0.221, 0.221, 0.221]]}

***

Please write out number 6 again, unchanged.
{"formula": "MnTe2Mo", "functional": "PBE", "state": "optimized geometry", "formation_energy_uncorrected_mev_per_atom": 181, "relative_energy_ev_per_atom": 0.229, "dft_energy_ev_per_atom": -6.39, "sg": "No. 160", "magmom_total_mub_per_fu": 3.06, "lattice_angstrom": [[-8.121, 1.124, -6.361], [-8.211, -2.152, -5.969], [-9.671, -0.184, -3.757]], "species": ["Mn", "Mo", "Te", "Te"], "fractional_positions": [[0.490, 0.490, 0.490], [0.759, 0.759, 0.759], [0.029, 0.029, 0.029], [0.221, 0.221, 0.221]]}

***

Please write out number 5 again, unchanged.
{"formula": "In2Pd2Au", "functional": "PBE", "state": "optimized geometry", "delta_e_f_ev_per_atom": -0.17, "relative_energy_ev_per_atom": 0.223, "dft_energy_ev_per_atom": -4.00, "sg": "No. 139", "magmom_total_mub_per_fu": 0.00, "lattice_angstrom": [[-1.876, 3.083, -1.348], [-3.300, -1.989, 0.044], [-3.774, 2.657, 5.822]], "species": ["In", "Pd", "In", "Pd", "Au"], "fractional_positions": [[0.393, 0.393, 0.214], [0.750, 0.250, 0.500], [0.607, 0.607, 0.786], [0.250, 0.750, 0.500], [0.000, 0.000, 0.000]]}